Cd2FeSe | PBE | relaxed

```
4
Lattice="7.123 -1.484 0.000 7.123 1.484 0.000 -1.082 0.000 3.783" Properties=species:S:1:pos:R:3 pbc="T T T"
Cd 2.405 0.000 0.692
Cd 10.758 0.000 3.091
Fe 7.123 0.000 0.000
Se -0.541 0.000 1.891
```

Properties
- Raw formation energy: 2.3 kcal/mol of atoms
- DOS at the Fermi energy: 0.59 states/eV/atom
- Total magnetization: 0.552 μB/atom
- Symmetry: C2/m, No. 12
- Total DFT energy (no corrections): -3.344 eV/atom